Record 1
# ZrSCl

ZrSCl after structural relaxation (PBE-GGA, Alexandria).

VASP energy	-6.38	eV per atom
uncorrected formation energy	-1.544	eV per atom

Cell: 14.0749 3.5623 6.1081 Å, 90.00 95.73 90.00°
Last column: nearest neighbours and their distance in Å.
Space group Cm (No. 8)
Unique sites:
1 Zr 0.0000 0.0000 0.0000 x2  3 S 2.54-2.57, 3 Cl 2.66-2.68
2 Zr 0.9999 0.5000 0.5000 x2  3 S 2.54-2.57, 3 Cl 2.66-2.68
3 S 0.1086 0.0000 0.6859 x2  3 Zr 2.54-2.57
4 S 0.3913 0.0000 0.1358 x2  3 Zr 2.54-2.57
5 Cl 0.1227 0.5000 0.1957 x2  3 Zr 2.66-2.68
6 Cl 0.3773 0.5000 0.6391 x2  3 Zr 2.66-2.68


Record 2
# Pa2PbSe

Pa2PbSe after structural relaxation (PBE-GGA, Alexandria).

VASP energy	-6.95	eV per atom
uncorrected formation energy	-0.406	eV per atom
energy above the most stable polymorph in this dataset	0.070	eV/atom

Cell: 3.4970 3.4970 8.1382 Å, 90.00 90.00 90.00°
Last column: nearest neighbours and their distance in Å.
Space group P4/mmm (No. 123)
Unique sites:
1 Pa 0.0000 0.0000 0.2195 x2  4 Se 3.05, 4 Pb 3.37
2 Pb 0.5000 0.5000 0.5000 x1  8 Pa 3.37, 4 Pb 3.50
3 Se 0.5000 0.5000 0.0000 x1  8 Pa 3.05


Record 3
# Pm2Dy3Rh2

Pm2Dy3Rh2 after structural relaxation (PBE-GGA, Alexandria).

VASP energy	-5.98	eV per atom

Cell: 12.2262 3.7873 9.0378 Å, 90.00 116.42 90.00°
Last column: nearest neighbours and their distance in Å.
Space group C2/m (No. 12)
Unique sites:
1 Pm 0.1650 0.0000 0.3075 x4  2 Rh 2.92
2 Dy 0.0000 0.5000 0.5000 x2  4 Rh 2.96
3 Dy 0.1169 0.5000 0.9300 x4  3 Rh 2.82-2.93
4 Rh 0.1730 0.0000 0.7426 x4  5 Dy 2.82-2.96, 2 Pm 2.92


Record 4
# Hf3RhAu

Hf3RhAu after structural relaxation (PBE-GGA, Alexandria).

VASP energy	-7.86	eV per atom
energy above the most stable polymorph in this dataset	0.000	eV/atom

Cell: 4.9336 4.9336 4.9336 Å, 90.00 90.00 90.00°
Last column: nearest neighbours and their distance in Å.
Space group Pm-3m (No. 221)
Unique sites:
1 Hf 0.0000 0.0000 0.5000 x3  2 Rh 2.47
2 Rh 0.0000 0.0000 0.0000 x1  6 Hf 2.47
3 Au 0.5000 0.5000 0.5000 x1  12 Hf 3.49


Record 5
# Ce2BiAs4

Ce2BiAs4 after structural relaxation (PBE-GGA, Alexandria).

VASP energy	-5.68	eV per atom

Cell: 3.9762 3.9762 11.2333 Å, 90.00 90.00 90.00°
Last column: nearest neighbours and their distance in Å.
Space group P-4m2 (No. 115)
Unique sites:
1 Ce 0.0000 0.5000 0.2092 x2  8 As 2.96-3.08
2 Bi 0.0000 0.0000 0.5000 x1  4 As 3.08
3 As 0.0000 0.0000 0.0000 x1  4 As 2.81, 4 Ce 3.08
4 As 0.0000 0.5000 0.7091 x2  4 Ce 2.96, 2 Bi 3.08
5 As 0.5000 0.5000 0.0000 x1  4 As 2.81, 4 Ce 3.08


Record 6
# ReTeBr2

ReTeBr2 after structural relaxation (PBE-GGA, Alexandria).

VASP energy	-4.30	eV per atom
uncorrected formation energy	0.433	eV per atom
energy above the most stable polymorph in this dataset	0.283	eV/atom

Cell: 9.2809 9.2809 5.1409 Å, 90.00 90.00 90.00°
Last column: nearest neighbours and their distance in Å.
Space group I-42d (No. 122)
Unique sites:
1 Re 0.0000 0.0000 0.0000 x4  2 Te 2.57, 4 Br 2.63
2 Te 0.0000 0.0000 0.5000 x4  2 Re 2.57
3 Br 0.1149 0.2500 0.1250 x8  2 Re 2.63


Record 7
# PmHo6In3

PmHo6In3 after structural relaxation (PBE-GGA, Alexandria).

VASP energy	-4.31	eV per atom
energy above the most stable polymorph in this dataset	0.000	eV/atom

Cell: 10.0825 5.1563 11.2177 Å, 90.00 99.45 90.00°
Last column: nearest neighbours and their distance in Å.
Space group P2_1/m (No. 11)
Unique sites:
1 Pm 0.0463 0.2500 0.4047 x2  10 Ho 3.48-3.62, 2 Pm 3.57
2 Ho 0.0764 0.7500 0.9091 x2  4 In 3.25-3.37, 5 Ho 3.43-3.59, 1 Pm 3.53
3 Ho 0.1412 0.7500 0.2194 x2  8 Ho 3.40-3.59, 2 Pm 3.54, 2 In 3.57
4 Ho 0.1838 0.2500 0.7240 x2  4 In 3.21-3.42, 3 Ho 3.44-3.59
5 Ho 0.2773 0.7500 0.5171 x2  4 In 3.23-3.24, 1 Ho 3.40, 3 Pm 3.52-3.56
6 Ho 0.3607 0.2500 0.3153 x2  5 In 3.18-3.32, 2 Ho 3.45, 1 Pm 3.48
7 Ho 0.4472 0.7500 0.0941 x2  6 In 3.19-3.31
8 In 0.2409 0.2500 0.0329 x2  9 Ho 3.20-3.57
9 In 0.3651 0.7500 0.8071 x2  8 Ho 3.19-3.30
10 In 0.4586 0.2500 0.6127 x2  8 Ho 3.18-3.32


Record 8
# Sc3CuNi2

Sc3CuNi2 after structural relaxation (PBE-GGA, Alexandria).

VASP energy	-6.21	eV per atom

Cell: 4.5190 4.5190 11.0888 Å, 90.00 90.00 120.00°
Last column: nearest neighbours and their distance in Å.
Space group P-3m1 (No. 164)
Unique sites:
1 Sc 0.0000 0.0000 0.2453 x2  5 Ni 2.72-2.82, 3 Cu 2.79
2 Sc 0.3333 0.6667 0.4161 x2  4 Cu 2.77-2.78, 4 Ni 2.77-2.78
3 Sc 0.3333 0.6667 0.9199 x2  7 Ni 2.72-2.78, 1 Cu 2.81
4 Cu 0.3333 0.6667 0.6666 x2  8 Sc 2.77-2.81
5 Ni 0.0000 0.0000 0.0000 x1  8 Sc 2.72-2.76
6 Ni 0.0000 0.0000 0.5000 x1  8 Sc 2.77-2.82
7 Ni 0.3333 0.6667 0.1655 x2  8 Sc 2.72-2.78


Record 9
# BeF

BeF after structural relaxation (PBE-GGA, Alexandria).

VASP energy	-3.65	eV per atom
uncorrected formation energy	-0.850	eV per atom
energy above the most stable polymorph in this dataset	1.158	eV/atom

Cell: 5.3188 5.3188 5.3188 Å, 90.00 90.00 90.00°
Last column: nearest neighbours and their distance in Å.
Space group Pm-3n (No. 223)
Unique sites:
1 Be 0.0000 0.2500 0.5000 x6  4 F 1.88
2 F 0.0000 0.5000 0.2500 x6  4 Be 1.88


Record 10
# Dy2In2Rh3

Dy2In2Rh3 after structural relaxation (PBE-GGA, Alexandria).

VASP energy	-5.93	eV per atom

Cell: 8.2274 4.7589 7.8443 Å, 90.00 110.43 90.00°
Last column: nearest neighbours and their distance in Å.
Space group C2/m (No. 12)
Unique sites:
1 Dy 0.1163 0.0000 0.3498 x4  7 Rh 2.83-2.96
2 In 0.1282 0.5000 0.8850 x4  5 Rh 2.72-2.93
3 Rh 0.0000 0.5000 0.5000 x2  2 In 2.83, 6 Dy 2.96
4 Rh 0.2484 0.0000 0.7447 x4  4 In 2.72-2.93, 4 Dy 2.83-2.90


Record 11
# Pr2ScAs4Pt3

Pr2ScAs4Pt3 after structural relaxation (PBE-GGA, Alexandria).

VASP energy	-6.24	eV per atom

Cell: 4.4246 4.4246 10.5678 Å, 90.00 90.00 90.00°
Last column: nearest neighbours and their distance in Å.
Space group P-4m2 (No. 115)
Unique sites:
1 Pr 0.0000 0.5000 0.2313 x2  8 As 3.30-3.40, 6 Pt 3.34-3.60, 2 Sc 3.60
2 Sc 0.0000 0.0000 0.5000 x1  4 As 2.67
3 As 0.0000 0.0000 0.0000 x1  4 Pt 2.56
4 As 0.0000 0.5000 0.6422 x2  3 Pt 2.50-2.67, 2 Sc 2.67
5 As 0.5000 0.5000 0.0000 x1  4 Pt 2.56
6 Pt 0.0000 0.5000 0.8790 x2  5 As 2.50-2.56
7 Pt 0.5000 0.5000 0.5000 x1  4 As 2.67


Record 12
# InPdPt3

InPdPt3 after structural relaxation (PBE-GGA, Alexandria).

VASP energy	-4.19	eV per atom
energy above the most stable polymorph in this dataset	1.333	eV/atom

Cell: 4.8647 4.8647 4.8647 Å, 90.00 90.00 90.00°
Last column: nearest neighbours and their distance in Å.
Space group Pm-3m (No. 221)
Unique sites:
1 In 0.0000 0.0000 0.0000 x1  12 Pt 3.44
2 Pd 0.5000 0.5000 0.5000 x1  6 Pt 2.43
3 Pt 0.0000 0.5000 0.5000 x3  2 Pd 2.43


Record 13
# Lu2MgC

Lu2MgC after structural relaxation (PBE-GGA, Alexandria).

VASP energy	-5.25	eV per atom

Cell: 3.4757 3.4757 25.2664 Å, 90.00 90.00 120.00°
Last column: nearest neighbours and their distance in Å.
Space group R-3m (No. 166, hexagonal axes)
Unique sites:
1 Lu 0.0000 0.0000 0.2186 x6  3 C 2.40
2 Mg 0.0000 0.0000 0.0000 x3  6 Mg 3.48, 6 Lu 3.52
3 C 0.0000 0.0000 0.5000 x3  6 Lu 2.40


Record 14
# CeYCd17

CeYCd17 after structural relaxation (PBE-GGA, Alexandria).

VASP energy	-1.59	eV per atom

Cell: 10.0673 10.0673 14.9887 Å, 90.00 90.00 120.00°
Last column: nearest neighbours and their distance in Å.
Space group R3m (No. 160, hexagonal axes)
Unique sites:
1 Ce 0.0000 0.0000 0.0000 x3  16 Cd 3.54-3.74
2 Y 0.0000 0.0000 0.3399 x3  13 Cd 3.33-3.51
3 Cd 0.0000 0.0000 0.5619 x3  7 Cd 2.96-3.27
4 Cd 0.0000 0.0000 0.7592 x3  4 Cd 2.91-2.96
5 Cd 0.0329 0.3635 0.3336 x18  8 Cd 2.91-3.22
6 Cd 0.1748 0.3495 0.1444 x9  7 Cd 2.86-3.04
7 Cd 0.1811 0.3621 0.5061 x9  9 Cd 2.91-3.06
8 Cd 0.1918 0.3837 0.8491 x9  6 Cd 2.86-3.06


Record 15
# CeHo4Al2

CeHo4Al2 after structural relaxation (PBE-GGA, Alexandria).

VASP energy	-4.60	eV per atom

Cell: 8.0089 6.4544 8.1821 Å, 90.00 117.08 90.00°
Last column: nearest neighbours and their distance in Å.
Space group P2_1/m (No. 11)
Unique sites:
1 Ce 0.1837 0.2500 0.2494 x2  4 Ho 3.06-3.37, 4 Al 3.15-3.40
2 Ho 0.0500 0.2500 0.5452 x2  1 Ce 3.06, 2 Al 3.11-3.14, 5 Ho 3.13-3.33
3 Ho 0.2628 0.5049 0.9311 x4  4 Al 3.15-3.50, 4 Ho 3.16-3.44, 1 Ce 3.37
4 Ho 0.3851 0.7500 0.5954 x2  4 Al 3.08-3.35, 1 Ce 3.09, 1 Ho 3.13
5 Al 0.1106 0.7500 0.1688 x2  1 Al 2.92, 6 Ho 3.14-3.18, 1 Ce 3.15
6 Al 0.4843 0.2500 0.7057 x2  1 Al 2.92, 4 Ho 3.08-3.16


Record 16
# ZrSe3Cl

ZrSe3Cl after structural relaxation (PBE-GGA, Alexandria).

VASP energy	-4.44	eV per atom
uncorrected formation energy	-0.266	eV per atom
energy above the most stable polymorph in this dataset	0.000	eV/atom

Cell: 5.2253 5.2253 5.2253 Å, 90.00 90.00 90.00°
Last column: nearest neighbours and their distance in Å.
Space group Pm-3m (No. 221)
Unique sites:
1 Zr 0.0000 0.0000 0.0000 x1  6 Se 2.61
2 Se 0.0000 0.0000 0.5000 x3  2 Zr 2.61
3 Cl 0.5000 0.5000 0.5000 x1  12 Se 3.69


Record 17
# DyHo4Cu5

DyHo4Cu5 after structural relaxation (PBE-GGA, Alexandria).

VASP energy	-4.61	eV per atom

Cell: 3.4356 3.4356 17.4371 Å, 90.00 90.00 90.00°
Last column: nearest neighbours and their distance in Å.
Space group P4/mmm (No. 123)
Unique sites:
1 Dy 0.0000 0.0000 0.0000 x1  8 Cu 3.00
2 Ho 0.0000 0.0000 0.2005 x2  8 Cu 2.99
3 Ho 0.0000 0.0000 0.4001 x2  8 Cu 2.99
4 Cu 0.5000 0.5000 0.1010 x2  4 Ho 2.99, 4 Dy 3.00
5 Cu 0.5000 0.5000 0.3003 x2  8 Ho 2.99
6 Cu 0.5000 0.5000 0.5000 x1  8 Ho 2.99


Record 18
# La2TaHg

La2TaHg after structural relaxation (PBE-GGA, Alexandria).

VASP energy	-5.10	eV per atom

Cell: 3.5635 5.3090 5.3855 Å, 90.00 90.00 90.00°
Last column: nearest neighbours and their distance in Å.
Space group Pmmm (No. 47)
Unique sites:
1 La 0.0000 0.0000 0.0000 x1  4 Hg 3.20, 6 La 3.23-3.56
2 La 0.5000 0.0000 0.5000 x1  4 Ta 3.20, 6 La 3.23-3.56
3 Ta 0.0000 0.5000 0.5000 x1  4 La 3.20, 4 Hg 3.23, 2 Ta 3.56
4 Hg 0.5000 0.5000 0.0000 x1  4 La 3.20, 4 Ta 3.23, 2 Hg 3.56


Record 19
# Ho2Zn2GaNi5

Ho2Zn2GaNi5 after structural relaxation (PBE-GGA, Alexandria).

VASP energy	-4.68	eV per atom

Cell: 9.2917 9.2917 3.4976 Å, 90.00 90.00 90.00°
Last column: nearest neighbours and their distance in Å.
Space group P4/mbm (No. 127)
Unique sites:
1 Ho 0.1769 0.3231 0.0000 x4  3 Zn 2.66-2.81, 2 Ni 2.91
2 Zn 0.1207 0.6207 0.0000 x4  6 Ni 2.36-2.48
3 Ga 0.0000 0.0000 0.0000 x2  8 Ni 2.61
4 Ni 0.0000 0.5000 0.5000 x2  4 Zn 2.36
5 Ni 0.0575 0.7998 0.5000 x8  2 Zn 2.48, 2 Ga 2.61, 2 Ni 2.74


Record 20
# SrTmCdAu

SrTmCdAu after structural relaxation (PBE-GGA, Alexandria).

VASP energy	-3.04	eV per atom

Cell: 7.5239 7.5239 7.5239 Å, 90.00 90.00 90.00°
Last column: nearest neighbours and their distance in Å.
Space group F-43m (No. 216)
Unique sites:
1 Sr 0.0000 0.0000 0.0000 x4  4 Au 3.26, 4 Cd 3.26
2 Tm 0.0000 0.0000 0.5000 x4  4 Cd 3.26, 4 Au 3.26
3 Cd 0.2500 0.2500 0.2500 x4  4 Sr 3.26, 4 Tm 3.26
4 Au 0.2500 0.2500 0.7500 x4  4 Tm 3.26, 4 Sr 3.26